Material: V3O8
Method: DFT, PBE with a Hubbard U
State: optimized geometry

The structure in POSCAR format:
```
V3O8
1.0
-5.515 -4.907 -5.548
-3.002 -5.912 -6.427
-0.808 -4.778 3.154
O V
8 3
Cartesian
-4.461 -8.264 -3.305 O
-6.519 -11.560 -5.418 O
-1.264 -4.056 1.024 O
-6.363 -9.708 -7.091 O
-4.862 -7.333 -5.516 O
-2.805 -4.037 -3.403 O
-8.060 -11.541 -9.845 O
-2.961 -5.890 -1.730 O
-0.404 -2.389 1.577 V
-7.256 -10.417 -8.834 V
-2.067 -5.181 0.014 V
```

Calculated values
- SG: No. 12
- Total magnetization: 1.06 μB/f.u.
- Calculated total energy: -7.123 eV per atom
- Volume: 13.4 Å³/atom